No. 1
Be2ZnRe PBE-GGA optimized geometry; spin magnetization = 0.00 μB per formula unit; DOS(E_F) = 1.34 states/eV/cell; E = -5.240 eV/atom; space group = Cm, No. 8; DFT formation energy = 0.053 eV per atom
1.0
4.614 0.007 0.017
3.872 2.509 0.017
1.319 0.391 3.977
Be Zn Re
2 1 1
Direct
0.734 0.734 0.706
0.017 0.017 0.036
0.264 0.264 0.194
0.485 0.485 0.564

=====

No. 2
Be2ZnRe PBE-GGA optimized geometry; spin magnetization = 0.00 μB per formula unit; DOS(E_F) = 1.30 states/eV/cell; E = -5.131 eV/atom; space group = Pmm2, No. 25; DFT formation energy = 0.163 eV per atom
1.0
-2.008 -1.380 -0.883
0.871 -2.351 1.694
-3.293 1.965 4.420
Zn Be Re
1 2 1
Direct
0.500 0.500 0.785
0.000 0.000 0.039
0.500 0.500 0.218
0.000 0.000 0.458

=====

No. 3
Be2ZnRe PBE-GGA optimized geometry; spin magnetization = 0.00 μB per formula unit; DOS(E_F) = 2.18 states/eV/cell; E = -5.193 eV/atom; space group = Pmmm, No. 47; DFT formation energy = 0.100 eV per atom
1.0
2.658 0.000 0.000
0.000 3.231 0.000
0.000 0.000 5.409
Re Be Zn
1 2 1
Direct
0.500 0.500 0.250
0.000 0.000 0.485
0.000 0.000 0.015
0.500 0.500 0.750

=====

No. 4
Be2ZnRe PBE-GGA optimized geometry; spin magnetization = 0.00 μB per formula unit; DOS(E_F) = 1.94 states/eV/cell; E = -4.980 eV/atom; space group = R3m, No. 160; DFT formation energy = 0.314 eV per atom
1.0
8.224 0.005 0.003
7.792 2.631 0.003
7.792 1.282 2.298
Zn Be Re
1 2 1
Direct
0.744 0.744 0.744
0.995 0.995 0.995
0.254 0.254 0.254
0.507 0.507 0.507

=====

No. 5
Be2ZnRe PBE-GGA optimized geometry; spin magnetization = 0.00 μB per formula unit; DOS(E_F) = 1.00 states/eV/cell; E = -5.246 eV/atom; space group = C2/m, No. 12; DFT formation energy = 0.048 eV per atom
1.0
-1.275 -3.611 -1.730
1.224 0.793 5.812
-2.071 -0.059 1.640
Be Re Zn
2 1 1
Direct
0.000 0.000 0.000
0.000 0.500 0.500
0.500 0.500 0.000
0.500 0.000 0.500

=====

No. 6
Be2ZnRe PBE-GGA optimized geometry; spin magnetization = 0.00 μB per formula unit; DOS(E_F) = 2.30 states/eV/cell; E = -5.050 eV/atom; space group = R-3m, No. 166; DFT formation energy = 0.243 eV per atom
1.0
8.209 0.013 0.008
7.771 2.645 0.008
7.771 1.292 2.308
Be Zn Re
2 1 1
Direct
0.998 0.998 0.998
0.502 0.502 0.502
0.750 0.750 0.750
0.250 0.250 0.250

=====

No. 7
Be2Zn2Re PBE-GGA optimized geometry; spin magnetization = 0.00 μB per formula unit; DOS(E_F) = 3.20 states/eV/cell; E = -4.318 eV/atom; space group = P4/mbm, No. 127; DFT formation energy = 0.171 eV per atom
1.0
6.590 0.000 0.000
0.000 6.590 0.000
0.000 0.000 2.683
Be Zn Re
4 4 2
Direct
0.133 0.367 0.000
0.867 0.633 0.000
0.633 0.133 0.000
0.367 0.867 0.000
0.162 0.662 0.500
0.338 0.162 0.500
0.662 0.838 0.500
0.838 0.338 0.500
0.500 0.500 0.000
0.000 0.000 0.000

=====

No. 8
Be2ZnRe PBE-GGA optimized geometry; spin magnetization = 0.00 μB per formula unit; DOS(E_F) = 1.03 states/eV/cell; E = -5.116 eV/atom; space group = C2/m, No. 12; DFT formation energy = 0.177 eV per atom
1.0
-2.997 -1.495 2.716
-1.667 -3.520 1.851
2.518 -0.046 3.981
Zn Be Re
1 2 1
Direct
0.250 0.250 0.250
0.498 0.498 0.546
0.002 0.002 0.954
0.750 0.750 0.750

=====

No. 9
Be2ZnRe PBE-GGA optimized geometry; spin magnetization = 0.00 μB per formula unit; DOS(E_F) = 6.07 states/eV/cell; E = -4.828 eV/atom; space group = I-42d, No. 122; DFT formation energy = 0.466 eV per atom
1.0
6.144 0.000 0.000
0.000 6.144 0.000
3.072 3.072 2.528
Zn Re Be
2 2 4
Direct
0.250 0.750 0.500
0.500 0.500 0.000
0.750 0.250 0.500
0.000 0.000 0.000
0.610 0.125 0.250
0.375 0.390 0.750
0.140 0.625 0.250
0.875 0.860 0.750

=====

No. 10
BeZn3Re PBE-GGA optimized geometry; spin magnetization = 0.24 μB per formula unit; DOS(E_F) = 4.25 states/eV/cell; relative energy among the computed polymorphs = 497.3 meV/atom; E = -2.573 eV/atom; space group = Pm-3m, No. 221; DFT formation energy = 1.426 eV per atom
1.0
4.807 0.000 0.000
0.000 4.807 0.000
0.000 0.000 4.807
Zn Re Be
3 1 1
Direct
0.000 0.000 0.500
0.500 0.000 0.000
0.000 0.500 0.000
0.000 0.000 0.000
0.500 0.500 0.500

=====

No. 11
Be2ZnRe PBE-GGA optimized geometry; spin magnetization = 0.00 μB per formula unit; DOS(E_F) = 1.26 states/eV/cell; E = -5.060 eV/atom; space group = Immm, No. 71; DFT formation energy = 0.234 eV per atom
1.0
-0.747 -4.597 -1.109
0.753 -1.183 -4.577
1.881 1.690 4.065
Zn Be Re
1 2 1
Direct
0.250 0.750 0.500
0.499 0.499 0.000
0.001 0.001 0.000
0.750 0.250 0.500

=====

No. 12
Be2ZnRe PBE-GGA optimized geometry; spin magnetization = 0.00 μB per formula unit; DOS(E_F) = 1.56 states/eV/cell; E = -5.173 eV/atom; space group = P2/m, No. 10; DFT formation energy = 0.120 eV per atom
1.0
-0.760 1.772 -3.111
-2.463 0.295 0.769
-0.025 4.558 2.603
Be Re Zn
2 1 1
Direct
0.000 0.620 0.462
0.000 0.880 0.038
0.500 0.250 0.250
0.500 0.750 0.750

=====

No. 13
Be2ZnRe PBE-GGA optimized geometry; spin magnetization = 0.00 μB per formula unit; DOS(E_F) = 1.00 states/eV/cell; E = -4.995 eV/atom; space group = Cmm2, No. 35; DFT formation energy = 0.299 eV per atom
1.0
-0.188 2.339 1.092
-1.532 -1.667 1.255
5.792 -1.750 4.747
Be Re Zn
2 1 1
Direct
0.000 0.000 0.020
0.500 0.500 0.233
0.000 0.000 0.476
0.500 0.500 0.771

=====

No. 14
Be2ZnRe PBE-GGA optimized geometry; spin magnetization = 0.00 μB per formula unit; DOS(E_F) = 2.74 states/eV/cell; E = -5.219 eV/atom; space group = I-4m2, No. 119; DFT formation energy = 0.075 eV per atom
1.0
4.716 -0.001 0.000
2.366 4.079 0.000
-3.541 -2.039 2.354
Zn Re Be
1 1 2
Direct
0.750 0.250 0.500
0.500 0.500 0.000
0.250 0.750 0.500
0.000 0.000 0.000

=====

No. 15
Be2ZnRe PBE-GGA optimized geometry; spin magnetization = 0.00 μB per formula unit; DOS(E_F) = 1.65 states/eV/cell; E = -5.104 eV/atom; space group = I4/mmm, No. 139; DFT formation energy = 0.190 eV per atom
1.0
4.315 -0.008 0.000
1.267 4.124 0.000
-2.791 -2.058 2.567
Be Re Zn
2 1 1
Direct
0.000 0.000 0.000
0.500 0.500 0.000
0.250 0.750 0.500
0.750 0.250 0.500

=====

No. 16
Be2ZnRe PBE-GGA optimized geometry; spin magnetization = 0.00 μB per formula unit; DOS(E_F) = 1.28 states/eV/cell; E = -5.219 eV/atom; space group = Pm, No. 6; DFT formation energy = 0.074 eV per atom
1.0
-1.534 -1.305 3.294
-2.210 -0.564 -1.253
0.498 -4.465 -1.537
Zn Be Re
1 2 1
Direct
0.500 0.794 0.787
0.500 0.055 0.268
0.000 0.190 0.990
0.000 0.462 0.455

=====

No. 17
Be2ZnRe PBE-GGA optimized geometry; spin magnetization = 0.00 μB per formula unit; DOS(E_F) = 1.48 states/eV/cell; E = -5.212 eV/atom; space group = Imm2, No. 44; DFT formation energy = 0.082 eV per atom
1.0
-3.874 2.576 -1.403
-2.454 -1.248 -4.004
1.569 -1.250 4.426
Re Be Zn
1 2 1
Direct
0.511 0.511 0.000
0.765 0.265 0.500
0.989 0.989 0.000
0.235 0.735 0.500

=====

No. 18
Zr3BeRe PBE-GGA optimized geometry; spin magnetization = 0.00 μB per formula unit; DOS(E_F) = 9.46 states/eV/cell; relative energy among the computed polymorphs = 304.4 meV/atom; E = -7.425 eV/atom; space group = Pm-3m, No. 221; DFT formation energy = 0.938 eV per atom
1.0
5.049 0.000 0.000
0.000 5.049 0.000
0.000 0.000 5.049
Re Zr Be
1 3 1
Direct
0.000 0.000 0.000
0.000 0.500 0.000
0.500 0.000 0.000
0.000 0.000 0.500
0.500 0.500 0.500

=====

No. 19
ZrBe3Re PBE-GGA optimized geometry; spin magnetization = 0.00 μB per formula unit; DOS(E_F) = 1.94 states/eV/cell; relative energy among the computed polymorphs = 0.0 meV/atom; E = -6.046 eV/atom; space group = Pm-3m, No. 221; DFT formation energy = 0.389 eV per atom
1.0
-0.753 3.200 2.595
1.070 -2.395 3.265
3.979 1.250 -0.387
Zr Be Re
1 3 1
Direct
0.500 0.500 0.500
0.000 0.500 0.000
0.500 0.000 0.000
0.000 0.000 0.500
0.000 0.000 0.000

=====

No. 20
ZrBe3Re PBE-GGA optimized geometry; spin magnetization = 2.51 μB per formula unit; DOS(E_F) = 4.95 states/eV/cell; relative energy among the computed polymorphs = 1767.3 meV/atom; E = -4.279 eV/atom; space group = Pm-3m, No. 221; DFT formation energy = 2.156 eV per atom
1.0
4.274 0.000 0.000
0.000 4.274 0.000
0.000 0.000 4.274
Re Be Zr
1 3 1
Direct
0.500 0.500 0.500
0.000 0.500 0.000
0.000 0.000 0.500
0.500 0.000 0.000
0.000 0.000 0.000